Material: IrOsCl2
Method: DFT, SCAN
State: PBEsol geometry

Summary:
As for the space group: R-3m, No. 166. The formation energy without anion corrections is 0.791 eV per atom. The total energy is -38.94 eV per atom. The value obtained for the offset from the most stable computed form is 0.729 eV per atom.

```
IrOsCl2
1.0
2.716 0.000 0.000
1.358 2.352 0.000
1.358 0.784 11.144
Cl Os Ir
2 1 1
direct
0.934 0.934 0.199 Cl
0.066 0.066 0.801 Cl
0.000 0.000 0.000 Os
0.500 0.500 0.500 Ir
```